No. 1
Compound: MnRePt2
Source: Alexandria
Functional: PBE
Structure: relaxed

Cell: 4.4342 4.4342 4.4342 Å, 60.00 60.00 60.00°
Site moments in Bohr magnetons follow the coordinates.
Fractional positions:
Mn  0.0000  0.0000  0.0000  3.60
Pt  0.2500  0.2500  0.2500  -0.04
Pt  0.7500  0.7500  0.7500  -0.04
Re  0.5000  0.5000  0.5000  -1.05

Output
- E_form (meV/atom) = 158.8
- offset from the most stable computed form (meV/atom) = 336.1
- total DFT energy (no corrections) (eV per atom) = -8.266

---

No. 2
Compound: Mn2RePt
Source: Alexandria
Functional: PBE
Structure: relaxed

Cell: 4.3110 4.3110 4.3110 Å, 60.00 60.00 60.00°
Site moments in Bohr magnetons follow the coordinates.
Fractional positions:
Mn  0.0000  0.0000  0.0000  2.14
Mn  0.2500  0.2500  0.2500  3.21
Pt  0.5000  0.5000  0.5000  0.06
Re  0.7500  0.7500  0.7500  -0.59

Output
- E_form (meV/atom) = 188.4
- total DFT energy (no corrections) (eV per atom) = -9.019

---

No. 3
Compound: MnRe2Pt
Source: Alexandria
Functional: PBE
Structure: relaxed

Cell: 2.7774 2.7774 7.6102 Å, 90.00 90.00 90.00°
Site moments in Bohr magnetons follow the coordinates.
Fractional positions:
Mn  0.0000  0.0000  0.4933  2.93
Pt  0.5000  0.5000  0.7441  0.06
Re  0.0000  0.0000  0.0094  0.01
Re  0.5000  0.5000  0.2533  -0.26

Output
- E_form (meV/atom) = -32.0
- offset from the most stable computed form (meV/atom) = 22.0
- total DFT energy (no corrections) (eV per atom) = -10.059

---

No. 4
Compound: Mn2RePt
Source: Alexandria
Functional: PBE
Structure: relaxed

Cell: 4.5869 4.5869 2.6677 Å, 90.00 90.00 107.62°
Site moments in Bohr magnetons follow the coordinates.
Fractional positions:
Mn  0.0000  0.0000  0.0000  1.63
Mn  0.5000  0.5000  0.0000  1.63
Pt  0.5000  0.0000  0.5000  -0.03
Re  0.0000  0.5000  0.5000  -0.41

Output
- E_form (meV/atom) = -17.7
- total DFT energy (no corrections) (eV per atom) = -9.225

---

No. 5
Compound: Mn2RePt2
Source: Alexandria
Functional: PBE
Structure: relaxed

Cell: 7.2502 7.2502 2.6590 Å, 90.00 90.00 90.00°
Fractional positions:
Re  0.0000  0.0000  0.0000
Re  0.5000  0.5000  0.0000
Mn  0.1698  0.6698  0.5000
Mn  0.6698  0.8302  0.5000
Mn  0.8302  0.3302  0.5000
Mn  0.3302  0.1698  0.5000
Pt  0.3704  0.8704  0.0000
Pt  0.8704  0.6296  0.0000
Pt  0.6296  0.1296  0.0000
Pt  0.1296  0.3704  0.0000

Output
- E_form (meV/atom) = 266.6
- total DFT energy (no corrections) (eV per atom) = -8.307

---

No. 6
Compound: MnRe2Pt
Source: Alexandria
Functional: PBE
Structure: relaxed

Cell: 4.3365 4.3365 4.3365 Å, 60.00 60.00 60.00°
Fractional positions:
Re  0.2500  0.2500  0.2500
Re  0.7500  0.7500  0.7500
Mn  0.0000  0.0000  0.0000
Pt  0.5000  0.5000  0.5000

Output
- E_form (meV/atom) = 474.4
- offset from the most stable computed form (meV/atom) = 528.5
- total DFT energy (no corrections) (eV per atom) = -9.552

---

No. 7
Compound: MnRePt2
Source: Alexandria
Functional: PBE
Structure: relaxed

Cell: 4.3858 4.3858 4.3858 Å, 60.00 60.00 60.00°
Site moments in Bohr magnetons follow the coordinates.
Fractional positions:
Mn  0.5000  0.5000  0.5000  3.03
Pt  0.0000  0.0000  0.0000  0.02
Pt  0.2500  0.2500  0.2500  0.11
Re  0.7500  0.7500  0.7500  -0.38

Output
- E_form (meV/atom) = 110.8
- offset from the most stable computed form (meV/atom) = 288.1
- total DFT energy (no corrections) (eV per atom) = -8.314

---

No. 8
Compound: MnRePt2
Source: Alexandria
Functional: PBE
Structure: relaxed

Cell: 2.7268 2.7268 7.9037 Å, 90.00 90.00 90.00°
Site moments in Bohr magnetons follow the coordinates.
Fractional positions:
Mn  0.5000  0.5000  0.7465  2.80
Pt  0.0000  0.0000  0.9845  0.12
Pt  0.5000  0.5000  0.2601  0.02
Re  0.0000  0.0000  0.5089  -0.20

Output
- E_form (meV/atom) = -126.9
- offset from the most stable computed form (meV/atom) = 50.3
- total DFT energy (no corrections) (eV per atom) = -8.552

---

No. 9
Compound: MnRe2Pt
Source: Alexandria
Functional: PBE
Structure: relaxed

Cell: 3.2296 3.2296 5.6563 Å, 90.00 90.00 90.00°
Site moments in Bohr magnetons follow the coordinates.
Fractional positions:
Mn  0.0000  0.0000  0.5072  2.94
Pt  0.5000  0.5000  0.7303  0.00
Re  0.0000  0.0000  0.0116  -0.24
Re  0.5000  0.5000  0.2509  -0.14

Output
- E_form (meV/atom) = 69.7
- offset from the most stable computed form (meV/atom) = 123.7
- total DFT energy (no corrections) (eV per atom) = -9.957

---

No. 10
Compound: MnRePt
Source: Alexandria
Functional: PBE
Structure: relaxed

Cell: 2.7165 2.7165 6.5568 Å, 90.00 90.00 120.00°
Fractional positions:
Mn  0.0000  0.0000  0.9909
Pt  0.6667  0.3333  0.3229
Re  0.3333  0.6667  0.6862

Output
- E_form (meV/atom) = 28.3
- offset from the most stable computed form (meV/atom) = 88.9
- total DFT energy (no corrections) (eV per atom) = -9.191

---

No. 11
Compound: MnRePt
Source: Alexandria
Functional: PBE
Structure: relaxed

Cell: 4.2137 4.2137 4.2137 Å, 60.00 60.00 60.00°
Site moments in Bohr magnetons follow the coordinates.
Fractional positions:
Re  0.0000  0.0000  0.0000  -0.24
Mn  0.5000  0.5000  0.5000  3.65
Pt  0.7500  0.7500  0.7500  0.15

Output
- E_form (meV/atom) = 544.9
- offset from the most stable computed form (meV/atom) = 605.4
- total DFT energy (no corrections) (eV per atom) = -8.675

---

No. 12
Compound: MnRe2Pt
Source: Alexandria
Functional: PBE
Structure: relaxed

Cell: 2.7072 2.7072 7.6488 Å, 90.00 90.00 90.01°
Fractional positions:
Mn  0.5000  0.5000  0.2500
Pt  0.5000  0.5000  0.7500
Re  0.0000  0.0000  0.0225
Re  0.0000  0.0000  0.4775

Output
- E_form (meV/atom) = -30.2
- offset from the most stable computed form (meV/atom) = 23.8
- total DFT energy (no corrections) (eV per atom) = -10.057